No. 1
## Nb2FePb (PBE)

Data for a relaxed Nb2FePb crystal.

abc: 6.594 6.594 6.594
angles: 90.00 90.00 90.00
Space group F-43m (No. 216)
Inequivalent atoms, fractional coordinates:
1 Nb 0.000 0.000 0.000 x4
2 Nb 0.250 0.250 0.250 x4
3 Fe 0.250 0.250 0.750 x4
4 Pb 0.000 0.000 0.500 x4

Calculated values
**M_tot**: 9.718 μB per cell
**E**: -7.58 eV per atom

***

No. 2
## NbFePdPb (PBE)

Data for a relaxed NbFePdPb crystal.

abc: 6.536 6.536 6.536
angles: 90.00 90.00 90.00
Space group F-43m (No. 216)
Inequivalent atoms, fractional coordinates:
1 Nb 0.000 0.000 0.000 x4
2 Fe 0.000 0.000 0.500 x4
3 Pd 0.250 0.250 0.750 x4
4 Pb 0.250 0.250 0.250 x4

Calculated values
**M_tot**: 7.876 μB per cell
**Distance to the lowest polymorph of the same formula**: 0.114 eV per atom

***

No. 3
## NbFePdPb (PBE)

Data for a relaxed NbFePdPb crystal.

abc: 6.501 6.501 6.501
angles: 90.00 90.00 90.00
Space group F-43m (No. 216)
Inequivalent atoms, fractional coordinates:
1 Nb 0.000 0.000 0.000 x4
2 Fe 0.250 0.250 0.750 x4
3 Pd 0.250 0.250 0.250 x4
4 Pb 0.000 0.000 0.500 x4

Calculated values
**M_tot**: 6.084 μB per cell
**Distance to the lowest polymorph of the same formula**: 0.000 eV per atom

***

No. 4
## NbFePtPb (PBE)

Data for a relaxed NbFePtPb crystal.

abc: 6.541 6.541 6.541
angles: 90.00 90.00 90.00
Space group F-43m (No. 216)
Inequivalent atoms, fractional coordinates:
1 Nb 0.000 0.000 0.000 x4
2 Fe 0.000 0.000 0.500 x4
3 Pt 0.250 0.250 0.750 x4
4 Pb 0.250 0.250 0.250 x4

Calculated values
**M_tot**: 7.273 μB per cell
**Distance to the lowest polymorph of the same formula**: 0.034 eV per atom

***

No. 5
## NbFePtPb (PBE)

Data for a relaxed NbFePtPb crystal.

abc: 6.541 6.541 6.541
angles: 90.00 90.00 90.00
Space group F-43m (No. 216)
Inequivalent atoms, fractional coordinates:
1 Nb 0.000 0.000 0.000 x4
2 Fe 0.250 0.250 0.750 x4
3 Pt 0.250 0.250 0.250 x4
4 Pb 0.000 0.000 0.500 x4

Calculated values
**M_tot**: 6.745 μB per cell
**Distance to the lowest polymorph of the same formula**: 0.000 eV per atom

***

No. 6
## NbFeRePb (PBE)

Data for a relaxed NbFeRePb crystal.

abc: 6.406 6.406 6.406
angles: 90.00 90.00 90.00
Space group F-43m (No. 216)
Inequivalent atoms, fractional coordinates:
1 Nb 0.000 0.000 0.000 x4
2 Fe 0.250 0.250 0.750 x4
3 Re 0.250 0.250 0.250 x4
4 Pb 0.000 0.000 0.500 x4

Calculated values
**M_tot**: 0.036 μB per cell
**Distance to the lowest polymorph of the same formula**: 0.000 eV per atom

***

No. 7
## TaNbFePb (PBE)

Data for a relaxed TaNbFePb crystal.

abc: 6.543 6.543 6.543
angles: 90.00 90.00 90.00
Space group F-43m (No. 216)
Inequivalent atoms, fractional coordinates:
1 Ta 0.000 0.000 0.000 x4
2 Nb 0.250 0.250 0.250 x4
3 Fe 0.250 0.250 0.750 x4
4 Pb 0.000 0.000 0.500 x4

Calculated values
**M_tot**: 8.204 μB per cell
**Distance to the lowest polymorph of the same formula**: 0.000 eV per atom

***

No. 8
## NbFeTcPb (PBE)

Data for a relaxed NbFeTcPb crystal.

abc: 6.387 6.387 6.387
angles: 90.00 90.00 90.00
Space group F-43m (No. 216)
Inequivalent atoms, fractional coordinates:
1 Nb 0.000 0.000 0.000 x4
2 Fe 0.250 0.250 0.750 x4
3 Tc 0.250 0.250 0.250 x4
4 Pb 0.000 0.000 0.500 x4

Calculated values
**M_tot**: 0.001 μB per cell
**Distance to the lowest polymorph of the same formula**: 0.000 eV per atom

***

No. 9
## NbFePbW (PBE)

Data for a relaxed NbFePbW crystal.

abc: 6.482 6.482 6.482
angles: 90.00 90.00 90.00
Space group F-43m (No. 216)
Inequivalent atoms, fractional coordinates:
1 Nb 0.000 0.000 0.000 x4
2 Fe 0.250 0.250 0.750 x4
3 Pb 0.000 0.000 0.500 x4
4 W 0.250 0.250 0.250 x4

Calculated values
**M_tot**: 5.790 μB per cell
**Distance to the lowest polymorph of the same formula**: 0.000 eV per atom

***

No. 10
## YNbFePb (PBE)

Data for a relaxed YNbFePb crystal.

abc: 6.873 6.873 6.873
angles: 90.00 90.00 90.00
Space group F-43m (No. 216)
Inequivalent atoms, fractional coordinates:
1 Y 0.000 0.000 0.000 x4
2 Nb 0.250 0.250 0.250 x4
3 Fe 0.250 0.250 0.750 x4
4 Pb 0.000 0.000 0.500 x4

Calculated values
**M_tot**: 15.210 μB per cell
**Distance to the lowest polymorph of the same formula**: 0.000 eV per atom

***

No. 11
## Nb2FePd (PBE)

Data for a relaxed Nb2FePd crystal.

abc: 6.293 6.293 6.293
angles: 90.00 90.00 90.00
Space group F-43m (No. 216)
Inequivalent atoms, fractional coordinates:
1 Nb 0.000 0.000 0.000 x4
2 Nb 0.250 0.250 0.250 x4
3 Fe 0.250 0.250 0.750 x4
4 Pd 0.000 0.000 0.500 x4

Calculated values
**M_tot**: 2.465 μB per cell
**ΔH_f (0 K)**: 0.085 eV per atom

***

No. 12
## NbFeSbPd (PBE)

Data for a relaxed NbFeSbPd crystal.

abc: 6.440 6.440 6.440
angles: 90.00 90.00 90.00
Space group F-43m (No. 216)
Inequivalent atoms, fractional coordinates:
1 Nb 0.000 0.000 0.000 x4
2 Fe 0.000 0.000 0.500 x4
3 Sb 0.250 0.250 0.250 x4
4 Pd 0.250 0.250 0.750 x4

Calculated values
**M_tot**: 8.014 μB per cell
**Distance to the lowest polymorph of the same formula**: 0.017 eV per atom

***

No. 13
## NbFeSbPd (PBE)

Data for a relaxed NbFeSbPd crystal.

abc: 6.407 6.407 6.407
angles: 90.00 90.00 90.00
Space group F-43m (No. 216)
Inequivalent atoms, fractional coordinates:
1 Nb 0.000 0.000 0.000 x4
2 Fe 0.250 0.250 0.750 x4
3 Sb 0.000 0.000 0.500 x4
4 Pd 0.250 0.250 0.250 x4

Calculated values
**M_tot**: 3.434 μB per cell
**Distance to the lowest polymorph of the same formula**: 0.000 eV per atom

***

No. 14
## NbFeSiPd (PBE)

Data for a relaxed NbFeSiPd crystal.

abc: 6.154 6.154 6.154
angles: 90.00 90.00 90.00
Space group F-43m (No. 216)
Inequivalent atoms, fractional coordinates:
1 Nb 0.000 0.000 0.000 x4
2 Fe 0.000 0.000 0.500 x4
3 Si 0.250 0.250 0.250 x4
4 Pd 0.250 0.250 0.750 x4

Calculated values
**M_tot**: 7.756 μB per cell
**Distance to the lowest polymorph of the same formula**: 0.025 eV per atom

***

No. 15
## NbFeSiPd (PBE)

Data for a relaxed NbFeSiPd crystal.

abc: 6.121 6.121 6.121
angles: 90.00 90.00 90.00
Space group F-43m (No. 216)
Inequivalent atoms, fractional coordinates:
1 Nb 0.000 0.000 0.000 x4
2 Fe 0.250 0.250 0.750 x4
3 Si 0.000 0.000 0.500 x4
4 Pd 0.250 0.250 0.250 x4

Calculated values
**M_tot**: 5.888 μB per cell
**Distance to the lowest polymorph of the same formula**: 0.000 eV per atom

***

No. 16
## NbFeSnPd (PBE)

Data for a relaxed NbFeSnPd crystal.

abc: 6.458 6.458 6.458
angles: 90.00 90.00 90.00
Space group F-43m (No. 216)
Inequivalent atoms, fractional coordinates:
1 Nb 0.000 0.000 0.000 x4
2 Fe 0.000 0.000 0.500 x4
3 Sn 0.250 0.250 0.250 x4
4 Pd 0.250 0.250 0.750 x4

Calculated values
**M_tot**: 7.837 μB per cell
**Distance to the lowest polymorph of the same formula**: 0.155 eV per atom

***

No. 17
## NbFeSnPd (PBE)

Data for a relaxed NbFeSnPd crystal.

abc: 6.401 6.401 6.401
angles: 90.00 90.00 90.00
Space group F-43m (No. 216)
Inequivalent atoms, fractional coordinates:
1 Nb 0.000 0.000 0.000 x4
2 Fe 0.250 0.250 0.750 x4
3 Sn 0.000 0.000 0.500 x4
4 Pd 0.250 0.250 0.250 x4

Calculated values
**M_tot**: 5.976 μB per cell
**Distance to the lowest polymorph of the same formula**: 0.000 eV per atom

***

No. 18
## Nb2FeSn2Pd (PBE)

Data for a relaxed Nb2FeSn2Pd crystal.

abc: 6.138 6.138 12.151
angles: 90.00 90.00 90.00
Space group I-42d (No. 122)
Inequivalent atoms, fractional coordinates:
1 Nb 0.230 0.750 0.125 x8
2 Fe 0.000 0.000 0.000 x4
3 Sn 0.244 0.250 0.125 x8
4 Pd 0.000 0.000 0.500 x4

Calculated values
**M_tot**: 0.005 μB per cell
**E**: -7.21 eV per atom

***

No. 19
## NbTlFePd (PBE)

Data for a relaxed NbTlFePd crystal.

abc: 6.508 6.508 6.508
angles: 90.00 90.00 90.00
Space group F-43m (No. 216)
Inequivalent atoms, fractional coordinates:
1 Nb 0.000 0.000 0.000 x4
2 Tl 0.250 0.250 0.250 x4
3 Fe 0.000 0.000 0.500 x4
4 Pd 0.250 0.250 0.750 x4

Calculated values
**M_tot**: 9.412 μB per cell
**Distance to the lowest polymorph of the same formula**: 0.168 eV per atom

***

No. 20
## NbTlFePd (PBE)

Data for a relaxed NbTlFePd crystal.

abc: 6.451 6.451 6.451
angles: 90.00 90.00 90.00
Space group F-43m (No. 216)
Inequivalent atoms, fractional coordinates:
1 Nb 0.000 0.000 0.000 x4
2 Tl 0.000 0.000 0.500 x4
3 Fe 0.250 0.250 0.750 x4
4 Pd 0.250 0.250 0.250 x4

Calculated values
**M_tot**: 7.435 μB per cell
**Distance to the lowest polymorph of the same formula**: 0.000 eV per atom

***

Per-record V, Å³ per cell: 287, 279, 275, 280, 280, 263, 280, 261, 272, 325, 249, 267, 263, 233, 229, 269, 262, 458, 276, 268